Here is an optimized crystal structure of TbEr3N from Alexandria. Energies are from PBE.

Values from the calculation:
**Spin magnetization**: 0.001 μB per atom
**Formation energy (no corrections)**: -0.52 eV per atom
**E_tot**: -29.26 eV/f.u.
**Density**: 9.427 g/cm³

```
TbEr3N
1.0
-3.5553 2.2637 2.5315
2.1688 -1.3068 4.2145
2.6133 4.1643 -0.0535
N Tb Er
1 1 3
Direct
0.0000 0.0000 0.0000 N
0.5000 0.5000 0.5000 Tb
0.0000 0.5000 0.0000 Er
0.0000 0.0000 0.5000 Er
0.5000 0.0000 0.0000 Er
```

***

Here is an optimized crystal structure of ErThPdAu from Alexandria. Energies are from PBE.

Values from the calculation:
**Spin magnetization**: 0.000 μB per atom
**Energy above the lowest structure with this stoichiometry**: 104 meV/atom
**E_tot**: -23.33 eV/f.u.
**Density**: 12.343 g/cm³

```
ErThPdAu
1.0
5.1132 0.0000 0.0000
2.5566 4.4282 0.0000
2.5566 1.4761 4.1749
Au Pd Th Er
1 1 1 1
Direct
0.0000 0.0000 0.0000 Au
0.5000 0.5000 0.5000 Pd
0.7500 0.7500 0.7500 Th
0.2500 0.2500 0.2500 Er
```

***

Here is an optimized crystal structure of Tm4Tl2Ru from Alexandria. Energies are from PBE.

Values from the calculation:
**Spin magnetization**: 0.000 μB per atom
**E_tot**: -33.73 eV/f.u.
**Density**: 10.177 g/cm³

```
Tm4Tl2Ru
1.0
-0.3372 -3.0110 -1.9331
7.4572 1.9083 -4.2730
6.3977 -6.1278 8.4286
Tm Tl Ru
8 4 2
Direct
0.0000 0.6305 0.8101 Tm
0.0000 0.3695 0.1899 Tm
0.0000 0.1305 0.6899 Tm
0.0000 0.8695 0.3101 Tm
0.5000 0.7870 0.5703 Tm
0.5000 0.2130 0.4297 Tm
0.5000 0.7130 0.0703 Tm
0.5000 0.2870 0.9297 Tm
0.5000 0.9315 0.8550 Tl
0.5000 0.0685 0.1450 Tl
0.5000 0.4315 0.6450 Tl
0.5000 0.5685 0.3550 Tl
0.0000 0.0000 0.5000 Ru
0.0000 0.5000 0.0000 Ru
```

***

Here is an optimized crystal structure of Rb2Si2Sn from Alexandria. Energies are from PBE.

Values from the calculation:
**Spin magnetization**: 0.000 μB per atom
**Formation energy (no corrections)**: 0.15 eV per atom
**E_tot**: -16.03 eV/f.u.
**Density**: 3.724 g/cm³

```
Rb2Si2Sn
1.0
7.2367 0.0000 0.0000
0.0000 7.2367 0.0000
0.0000 0.0000 5.8886
Si Sn Rb
4 2 4
Direct
0.3869 0.8869 0.0000 Si
0.8869 0.6131 0.0000 Si
0.6131 0.1131 0.0000 Si
0.1131 0.3869 0.0000 Si
0.0000 0.0000 0.0000 Sn
0.5000 0.5000 0.0000 Sn
0.1888 0.6888 0.5000 Rb
0.6888 0.8112 0.5000 Rb
0.8112 0.3112 0.5000 Rb
0.3112 0.1888 0.5000 Rb
```

***

Here is an optimized crystal structure of SrAsWBr2 from Alexandria. Energies are from PBE.

Values from the calculation:
**Spin magnetization**: 0.600 μB per atom
**Energy above the lowest structure with this stoichiometry**: 1060 meV/atom
**Formation energy (no corrections)**: 0.84 eV per atom
**E_tot**: -18.41 eV/f.u.
**Density**: 4.105 g/cm³

```
SrAsWBr2
1.0
5.6643 0.0000 0.0000
0.0000 5.6643 0.0000
0.0000 0.0000 6.3813
Sr As Br W
1 1 2 1
Direct
0.0000 0.0000 0.0000 Sr
0.0000 0.0000 0.5000 As
0.0000 0.5000 0.0000 Br
0.5000 0.0000 0.0000 Br
0.5000 0.5000 0.5000 W
```

***

Here is an optimized crystal structure of SiOs2Cl from Alexandria. Energies are from PBE.

Values from the calculation:
**Spin magnetization**: 0.000 μB per atom
**Energy above the lowest structure with this stoichiometry**: 251 meV/atom
**Formation energy (no corrections)**: 0.58 eV per atom
**E_tot**: -27.42 eV/f.u.
**Density**: 10.905 g/cm³

```
SiOs2Cl
1.0
3.6743 0.0000 0.0000
0.0000 2.8988 -0.0002
0.0000 -1.1645 6.3480
Cl Os Si
1 2 1
Direct
0.5000 0.7500 0.7500 Cl
0.0000 0.8825 0.0716 Os
0.0000 0.6175 0.4284 Os
0.5000 0.2500 0.2500 Si
```

***

Here is an optimized crystal structure of NaDyTa4N8 from Alexandria. Energies are from PBE.

Values from the calculation:
**Spin magnetization**: 0.000 μB per atom
**Formation energy (no corrections)**: -0.96 eV per atom
**E_tot**: -133.44 eV/f.u.
**Density**: 9.159 g/cm³

```
NaDyTa4N8
1.0
6.3267 0.0000 0.0000
3.1633 5.4791 0.0000
3.1633 1.8264 5.3420
Na Dy Ta N
1 1 4 8
Direct
0.9960 0.9960 0.0119 Na
0.3774 0.3774 0.8679 Dy
0.6220 0.6220 0.1340 Ta
0.0023 0.4851 0.5103 Ta
0.4851 0.0023 0.5103 Ta
0.0023 0.0023 0.5103 Ta
0.2501 0.8000 0.6997 N
0.8000 0.2501 0.6997 N
0.2501 0.2501 0.6997 N
0.2360 0.2360 0.2920 N
0.7357 0.2485 0.2801 N
0.2485 0.7357 0.2801 N
0.7357 0.7357 0.2801 N
0.7587 0.7587 0.7240 N
```

***

Here is an optimized crystal structure of Er6MgAl3 from Alexandria. Energies are from PBE.

Values from the calculation:
**Spin magnetization**: 0.000 μB per atom
**E_tot**: -42.51 eV/f.u.
**Density**: 7.336 g/cm³

```
Er6MgAl3
1.0
-1.9624 3.6673 -2.9868
-5.6282 -6.1278 -3.8260
-5.2754 4.4151 8.8872
Er Mg Al
12 2 6
Direct
0.2500 0.4547 0.0862 Er
0.7500 0.5453 0.9138 Er
0.2500 0.1294 0.1646 Er
0.7500 0.8706 0.8354 Er
0.2500 0.6529 0.6795 Er
0.7500 0.3471 0.3205 Er
0.2500 0.2662 0.5009 Er
0.7500 0.7338 0.4991 Er
0.2500 0.8226 0.2899 Er
0.7500 0.1774 0.7101 Er
0.2500 0.1025 0.8797 Er
0.7500 0.8975 0.1203 Er
0.2500 0.9593 0.5899 Mg
0.7500 0.0407 0.4101 Mg
0.2500 0.5375 0.3810 Al
0.7500 0.4625 0.6190 Al
0.2500 0.3791 0.7860 Al
0.7500 0.6209 0.2140 Al
0.2500 0.7745 0.9738 Al
0.7500 0.2255 0.0262 Al
```